1.
Entry from Alexandria via LeMat-Bulk: a relaxed structure of K3MgCr2S6 (PBE).

## Properties
The volume comes out at 255 Å³/cell. The value obtained for the formation energy (no corrections) is -11.72 eV per formula unit. As for the crystal system: monoclinic.

Cell: 6.3959 6.3959 7.4892 Å, 98.20 98.20 119.90°
Closest atoms and distances in Å follow each position.
Fractional positions:
K (0.5000, 0.5000, 0.5000)  6 S 3.05-3.18
K (0.8396, 0.1604, 0.5000)  6 S 3.07-3.19
K (0.1604, 0.8396, 0.5000)  6 S 3.07-3.19
S (0.7036, 0.7036, 0.1785)  2 Cr 2.44, 1 Mg 2.62
S (0.0606, 0.4176, 0.1812)  2 Cr 2.43-2.44, 1 Mg 2.63
S (0.9394, 0.5824, 0.8188)  2 Cr 2.43-2.44, 1 Mg 2.63
S (0.2964, 0.2964, 0.8215)  2 Cr 2.44, 1 Mg 2.62
S (0.5824, 0.9394, 0.8188)  2 Cr 2.43-2.44, 1 Mg 2.63
S (0.4176, 0.0606, 0.1812)  2 Cr 2.43-2.44, 1 Mg 2.63
Cr (0.6676, 0.3324, 0.0000)  6 S 2.43-2.44
Cr (0.3324, 0.6676, 0.0000)  6 S 2.43-2.44
Mg (0.0000, 0.0000, 0.0000)  6 S 2.62-2.63

=====

2.
Entry from Alexandria via LeMat-Bulk: a relaxed structure of Tl5Ge2Au12 (PBE).

## Properties
The volume comes out at 422 Å³/cell. The calculated formation energy comes out at 0.00 eV per atom. As for the crystal system: monoclinic.

Cell: 6.5074 7.4239 9.5295 Å, 67.08 85.41 90.00°
Closest atoms and distances in Å follow each position.
Fractional positions:
Ge (0.0000, 0.7089, 0.0000)  6 Au 2.65-2.75
Ge (0.0000, 0.2911, 0.0000)  6 Au 2.65-2.75
Au (0.6425, 0.2103, 0.1918)  1 Ge 2.75, 5 Au 2.86-3.06, 2 Tl 3.02-3.03
Au (0.3575, 0.7897, 0.8082)  1 Ge 2.75, 5 Au 2.86-3.06, 2 Tl 3.02-3.03
Au (0.7580, 0.3483, 0.6876)  4 Au 2.85-2.89, 3 Tl 3.07-3.15
Au (0.2787, 0.4422, 0.1155)  2 Ge 2.65, 4 Au 2.86-2.90
Au (0.6425, 0.5979, 0.1918)  1 Ge 2.75, 5 Au 2.86-3.06, 2 Tl 3.02-3.03
Au (0.7213, 0.5578, 0.8845)  2 Ge 2.65, 4 Au 2.86-2.90
Au (0.2420, 0.6517, 0.3124)  4 Au 2.85-2.89, 3 Tl 3.07-3.15
Au (0.9195, 0.9132, 0.1735)  2 Ge 2.67, 4 Au 2.89-2.90
Au (0.7580, 0.9642, 0.6876)  4 Au 2.85-2.89, 3 Tl 3.07-3.15
Au (0.3575, 0.4021, 0.8082)  1 Ge 2.75, 5 Au 2.86-3.06, 2 Tl 3.02-3.03
Au (0.2420, 0.0358, 0.3124)  4 Au 2.85-2.89, 3 Tl 3.07-3.15
Au (0.0805, 0.0868, 0.8265)  2 Ge 2.67, 4 Au 2.89-2.90
Tl (0.5000, 0.0000, 0.0000)  6 Au 3.02-3.24
Tl (0.3916, 0.2294, 0.5412)  7 Au 3.08-3.26, 1 Tl 3.39
Tl (0.0730, 0.6963, 0.6074)  7 Au 3.03-3.19
Tl (0.6084, 0.7706, 0.4588)  7 Au 3.08-3.26, 1 Tl 3.39
Tl (0.9270, 0.3037, 0.3926)  7 Au 3.03-3.19

=====

3.
Entry from Alexandria via LeMat-Bulk: a relaxed structure of Ru (PBE).

## Properties
The volume comes out at 174 Å³/cell. The calculation puts the energy above the most stable polymorph in this dataset at 408.2 meV per atom. The calculated formation energy comes out at 0.41 eV per atom. As for the crystal system: orthorhombic.

Cell: 14.4368 4.4091 2.7307 Å, 90.00 90.00 90.00°
Closest atoms and distances in Å follow each position.
Fractional positions:
Ru (0.8089, 0.0000, 0.5000)  10 Ru 2.66-2.78
Ru (0.0000, 0.5000, 0.5000)  10 Ru 2.56-2.73
Ru (0.1499, 0.5000, 0.0000)  10 Ru 2.56-2.73
Ru (0.1911, 0.0000, 0.5000)  10 Ru 2.66-2.78
Ru (0.5000, 0.0000, 0.5000)  10 Ru 2.56-2.73
Ru (0.0000, 0.0000, 0.0000)  6 Ru 2.59-2.73
Ru (0.6499, 0.0000, 0.0000)  10 Ru 2.56-2.73
Ru (0.5000, 0.5000, 0.0000)  6 Ru 2.59-2.73
Ru (0.3501, 0.0000, 0.0000)  10 Ru 2.56-2.73
Ru (0.8501, 0.5000, 0.0000)  10 Ru 2.56-2.73
Ru (0.6911, 0.5000, 0.5000)  10 Ru 2.66-2.78
Ru (0.3089, 0.5000, 0.5000)  10 Ru 2.66-2.78